1.
# PBE LaHoTlGa, relaxed
# Offset from the most stable computed form ... 0.039 eV/atom
# Formation enthalpy at 0 K ... -442 meV per atom
# Electronic total energy ... -4.167 eV/atom
data_LaHoTlGa
_cell_length_a 7.575
_cell_length_b 7.575
_cell_length_c 7.575
_cell_angle_alpha 90.00
_cell_angle_beta 90.00
_cell_angle_gamma 90.00
_space_group_name_H-M_alt 'F -4 3 m'
_space_group_IT_number 216
_space_group_name_Hall 'F -4 2 3'
loop_
_atom_site_label
_atom_site_type_symbol
_atom_site_fract_x
_atom_site_fract_y
_atom_site_fract_z
La1 La 0.000 0.000 0.000
Ho1 Ho 0.000 0.000 0.500
Tl1 Tl 0.250 0.250 0.250
Ga1 Ga 0.250 0.250 0.750


2.
# PBE TlTcMo, relaxed
# Offset from the most stable computed form ... 0.107 eV/atom
# Formation enthalpy at 0 K ... 403 meV per atom
# Electronic total energy ... -7.452 eV/atom
data_TlTcMo
_cell_length_a 3.085
_cell_length_b 3.085
_cell_length_c 11.427
_cell_angle_alpha 90.00
_cell_angle_beta 90.00
_cell_angle_gamma 90.00
_space_group_name_H-M_alt 'I 4 m m'
_space_group_IT_number 107
_space_group_name_Hall 'I 4 -2'
loop_
_atom_site_label
_atom_site_type_symbol
_atom_site_fract_x
_atom_site_fract_y
_atom_site_fract_z
Tl1 Tl 0.000 0.000 0.000
Tc1 Tc 0.000 0.000 0.313
Mo1 Mo 0.000 0.000 0.692


3.
# PBE FeNiRh4, relaxed
# Offset from the most stable computed form ... 0.452 eV/atom
# Formation enthalpy at 0 K ... 471 meV per atom
# Electronic total energy ... -6.804 eV/atom
data_FeNiRh4
_cell_length_a 7.150
_cell_length_b 7.150
_cell_length_c 7.150
_cell_angle_alpha 90.00
_cell_angle_beta 90.00
_cell_angle_gamma 90.00
_space_group_name_H-M_alt 'F -4 3 m'
_space_group_IT_number 216
_space_group_name_Hall 'F -4 2 3'
loop_
_atom_site_label
_atom_site_type_symbol
_atom_site_fract_x
_atom_site_fract_y
_atom_site_fract_z
Fe1 Fe 0.000 0.000 0.000
Ni1 Ni 0.250 0.250 0.250
Rh1 Rh 0.125 0.125 0.625